Entry from Alexandria via LeMat-Bulk: a relaxed structure of Ac2SmBe2Pt7 (PBE-GGA). Values from VASP.

The structure in Quantum ESPRESSO input format:
```
&SYSTEM
  ibrav = 0, nat = 12, ntyp = 4
/
ATOMIC_SPECIES
Be 9.01 Be.upf
Pt 195.08 Pt.upf
Ac 227.00 Ac.upf
Sm 150.36 Sm.upf
CELL_PARAMETERS angstrom
-3.7754 1.3430 -1.2261
0.3722 -2.1621 -3.5703
-6.6217 -10.7858 4.4123
ATOMIC_POSITIONS angstrom
Be -3.0511 -2.9407 -1.0011
Be -6.9737 -8.6641 0.6170
Pt -5.9550 -6.8033 -0.3629
Pt -7.5938 -8.4091 2.8611
Pt -4.5002 -1.4471 -2.0758
Pt -4.0699 -4.8016 -0.0212
Pt -1.7016 -0.4095 -2.3982
Pt -2.4310 -3.1957 -3.2453
Pt -5.5246 -10.1578 1.6916
Ac -4.6402 -7.1055 2.4151
Ac -5.3846 -4.4994 -2.7993
Sm 0.0000 0.0000 0.0000
```

Values from the calculation:
Energy relative to the elements: -0.98 eV per atom
Space group: C2/m (12)